# MnCo2

A geometry-optimized MnCo2 structure (PBE, the Alexandria database).

Results
The value obtained for the total energy is -46.5 eV for the cell shown. The space group is Cmcm, No. 63.

Cell: 6.5820 6.5820 3.9512 Å, 90.00 90.00 158.45°
Element x y z (fractional)
Mn  0.1118  0.8882  0.7500
Mn  0.8882  0.1118  0.2500
Co  0.2225  0.7775  0.2500
Co  0.4457  0.5543  0.7500
Co  0.5543  0.4457  0.2500
Co  0.7775  0.2225  0.7500